A relaxed CdIn4Re crystal. Source: Alexandria via LeMat-Bulk, functional PBE.

- symmetry = F-43m (216)
- crystal system = cubic
- uncorrected energy (eV per cell) = -19.224
- formation energy from the elements (eV per atom) = 0.85
- magnetic moment (Bohr magnetons per cell) = 0.0

a = 5.7516 Å, b = 5.7516 Å, c = 5.7516 Å
α = 60.00°, β = 60.00°, γ = 60.00°
Last column: nearest neighbours and their distance in Å.
Positions (direct):
In (0.3755, 0.3755, 0.3755)  6 In 2.86-2.89
Cd (0.0000, 0.0000, 0.0000)  12 In 3.37, 4 Re 3.52
In (0.8734, 0.3755, 0.3755)  6 In 2.86-2.89
In (0.3755, 0.3755, 0.8734)  6 In 2.86-2.89
In (0.3755, 0.8734, 0.3755)  6 In 2.86-2.89
Re (0.7500, 0.7500, 0.7500)  12 In 3.37, 4 Cd 3.52